Record 1
Compound: BaCuP
Source: the Alexandria database
Functional: PBE
Structure: optimized geometry

Geometry as CIF:
```
data_BaCuP
_chemical_formula_sum 'Ba2 Cu2 P2'
_symmetry_space_group_name_H-M 'P 1 21/m 1'
_symmetry_Int_Tables_number 11
_cell_length_a 4.833
_cell_length_b 4.915
_cell_length_c 7.585
_cell_angle_alpha 90.00
_cell_angle_beta 108.58
_cell_angle_gamma 90.00
loop_
_symmetry_equiv_pos_as_xyz
'x,y,z'
'-x,-y,-z'
'-x,y+1/2,-z'
'x,-y+1/2,z'
loop_
_atom_site_label
_atom_site_type_symbol
_atom_site_fract_x
_atom_site_fract_y
_atom_site_fract_z
Ba1 Ba 0.147 0.250 0.293
Cu1 Cu 0.500 0.000 0.000
P1 P 0.370 0.250 0.741
```

## Properties
final energy	-27.2	eV/cell
DFT formation energy	-0.727	eV per atom



Record 2
Compound: K2HgRu
Source: the Alexandria database
Functional: PBE
Structure: optimized geometry

Geometry as CIF:
```
data_K2HgRu
_chemical_formula_sum 'K2 Hg1 Ru1'
_symmetry_space_group_name_H-M 'P 4 m m'
_symmetry_Int_Tables_number 99
_cell_length_a 3.728
_cell_length_b 3.728
_cell_length_c 9.880
_cell_angle_alpha 90.00
_cell_angle_beta 90.00
_cell_angle_gamma 90.00
loop_
_symmetry_equiv_pos_as_xyz
'x,y,z'
'-y,x,z'
'-x,-y,z'
'y,-x,z'
'-x,y,z'
'y,x,z'
'x,-y,z'
'-y,-x,z'
loop_
_atom_site_label
_atom_site_type_symbol
_atom_site_fract_x
_atom_site_fract_y
_atom_site_fract_z
K1 K 0.000 0.000 0.000
K2 K 0.500 0.500 0.422
Hg1 Hg 0.500 0.500 0.749
Ru1 Ru 0.000 0.000 0.678
```

## Properties
final energy	-9.6	eV/cell
DFT formation energy	0.548	eV per atom